# 1
Entry from Alexandria: a geometry-optimized SrNdTe4 structure (GGA-PBE).

abc: 7.0214 7.0214 8.2001
angles: 90.00 90.00 90.00
Positions (direct):
Sr: 0.2500 0.2500 0.0000
Sr: 0.7500 0.7500 0.0000
Nd: 0.2500 0.2500 0.5000
Nd: 0.7500 0.7500 0.5000
Te: 0.0994 0.5994 0.2665
Te: 0.0994 0.9006 0.7335
Te: 0.4006 0.5994 0.7335
Te: 0.4006 0.9006 0.2665
Te: 0.5994 0.0994 0.7335
Te: 0.5994 0.4006 0.2665
Te: 0.9006 0.0994 0.2665
Te: 0.9006 0.4006 0.7335

## Properties
Final energy (eV per atom): -4.277
Raw formation energy (meV/atom): -1107.5
Density (Mg/m³): 6.10


# 2
Entry from Alexandria: a geometry-optimized Sr2NdTe4 structure (GGA-PBE).

abc: 8.3747 8.3747 15.0076
angles: 90.00 90.00 149.36
Positions (direct):
Sr: 0.1326 0.8674 0.5727
Sr: 0.1326 0.8674 0.9273
Sr: 0.8674 0.1326 0.0727
Sr: 0.8674 0.1326 0.4273
Nd: 0.3732 0.6268 0.7500
Nd: 0.6268 0.3732 0.2500
Te: 0.0138 0.9862 0.7500
Te: 0.2203 0.7797 0.1267
Te: 0.2203 0.7797 0.3733
Te: 0.5000 0.5000 0.0000
Te: 0.5000 0.5000 0.5000
Te: 0.7797 0.2203 0.6267
Te: 0.7797 0.2203 0.8733
Te: 0.9862 0.0138 0.2500

## Properties
Final energy (eV per atom): -4.309
Raw formation energy (meV/atom): -1352.6
Density (Mg/m³): 5.14


Look up the raw formation energy of the first one.
-1107.5 meV/atom


What did the first record say?
Entry from Alexandria: a geometry-optimized SrNdTe4 structure (GGA-PBE).

abc: 7.0214 7.0214 8.2001
angles: 90.00 90.00 90.00
Positions (direct):
Sr: 0.2500 0.2500 0.0000
Sr: 0.7500 0.7500 0.0000
Nd: 0.2500 0.2500 0.5000
Nd: 0.7500 0.7500 0.5000
Te: 0.0994 0.5994 0.2665
Te: 0.0994 0.9006 0.7335
Te: 0.4006 0.5994 0.7335
Te: 0.4006 0.9006 0.2665
Te: 0.5994 0.0994 0.7335
Te: 0.5994 0.4006 0.2665
Te: 0.9006 0.0994 0.2665
Te: 0.9006 0.4006 0.7335

## Properties
Final energy (eV per atom): -4.277
Raw formation energy (meV/atom): -1107.5
Density (Mg/m³): 6.10


What is the formula in the second record?
Sr2NdTe4


Among the records above, which one has the lowest final energy?
Sr2NdTe4